A plane-wave DFT calculation with GGA+U was carried out for an optimized crystal structure of VCdPtO6.

It has space group P-31c (No. 163), with a = 5.1659 Å, b = 5.1659 Å, c = 9.6443 Å, α = 90.00°, β = 90.00° and γ = 120.00°. The asymmetric unit holds V at (0.3333, 0.6667, 0.2500), Cd at (0.0000, 0.0000, 0.0000), Pt at (0.3333, 0.6667, 0.7500) and O at (0.0139, 0.3751, 0.1402).

The calculation puts the magnetic moment at 0.33 μB per formula unit. Its total energy is -5.963 eV per atom.